No. 1
Material: KMgW2
Method: DFT, PBE
State: optimized geometry

Structure (extended XYZ):
```
4
Lattice="2.767 -5.365 0.000 2.767 5.365 0.000 0.000 0.000 2.702" Properties=species:S:1:pos:R:3 pbc="T T T"
K 0.000 0.000 0.000
Mg 2.767 0.000 0.000
W 1.384 2.683 1.351
W 1.384 -2.683 1.351
```

Results
* raw total energy: -23.1 eV for the cell shown
* energy of formation: 1383 meV per atom
* space-group type: Cmmm


No. 2
Material: KMg2W
Method: DFT, PBE
State: optimized geometry

Structure (extended XYZ):
```
4
Lattice="1.501 0.867 11.462 -1.501 0.867 11.462 0.000 -1.733 11.462" Properties=species:S:1:pos:R:3 pbc="T T T"
K 0.000 0.000 0.000
Mg 0.000 0.000 8.113
Mg 0.000 0.000 16.825
W 0.000 0.000 25.956
```

Results
* raw total energy: -14.3 eV for the cell shown
* energy of formation: 728 meV per atom
* ΔE to the lowest computed polymorph: 0.1175 eV per atom
* space-group type: R3m


No. 3
Material: KMg2W
Method: DFT, PBE
State: optimized geometry

Structure (extended XYZ):
```
4
Lattice="-1.980 2.692 4.820 1.980 -2.692 4.820 1.980 2.692 -4.820" Properties=species:S:1:pos:R:3 pbc="T T T"
K 0.000 0.000 0.000
Mg 1.980 0.000 2.669
Mg 0.000 2.692 2.152
W 0.000 0.000 4.820
```

Results
* raw total energy: -12.2 eV for the cell shown
* energy of formation: 1264 meV per atom
* ΔE to the lowest computed polymorph: 0.6531 eV per atom
* space-group type: Immm


No. 4
Material: KMg2W
Method: DFT, PBE
State: optimized geometry

Structure (extended XYZ):
```
4
Lattice="1.783 -2.259 0.000 1.783 2.259 0.000 0.000 0.000 11.192" Properties=species:S:1:pos:R:3 pbc="T T T"
K 0.000 0.000 0.000
Mg 0.000 0.000 5.208
Mg 1.783 0.000 7.841
W 1.783 0.000 2.994
```

Results
* raw total energy: -14.3 eV for the cell shown
* energy of formation: 731 meV per atom
* ΔE to the lowest computed polymorph: 0.1202 eV per atom
* space-group type: Cmm2


No. 5
Material: KMg3W
Method: DFT, PBE
State: optimized geometry

Structure (extended XYZ):
```
5
Lattice="5.482 0.000 0.000 0.000 5.482 0.000 0.000 0.000 5.482" Properties=species:S:1:pos:R:3 pbc="T T T"
K 0.000 0.000 0.000
Mg 0.000 2.741 2.741
Mg 2.741 0.000 2.741
Mg 2.741 2.741 0.000
W 2.741 2.741 2.741
```

Results
* raw total energy: -14.0 eV for the cell shown
* energy of formation: 959 meV per atom
* ΔE to the lowest computed polymorph: 0.0000 eV per atom
* space-group type: Pm-3m


No. 6
Material: KMg2W
Method: DFT, PBE
State: optimized geometry

Structure (extended XYZ):
```
4
Lattice="4.836 -1.399 0.000 4.836 1.399 0.000 -0.354 0.000 7.529" Properties=species:S:1:pos:R:3 pbc="T T T"
K 0.000 0.000 0.000
Mg 2.080 0.000 5.053
Mg 7.238 0.000 2.476
W 4.659 0.000 3.764
```

Results
* raw total energy: -13.8 eV for the cell shown
* energy of formation: 850 meV per atom
* ΔE to the lowest computed polymorph: 0.2389 eV per atom
* space-group type: C2/m


No. 7
Material: KMg2W
Method: DFT, PBE
State: optimized geometry

Structure (extended XYZ):
```
4
Lattice="2.837 0.000 0.000 0.000 5.672 0.000 0.000 0.000 6.051" Properties=species:S:1:pos:R:3 pbc="T T T"
K 0.000 0.000 0.000
Mg 0.000 2.836 3.025
Mg 1.419 2.836 0.000
W 1.419 0.000 3.025
```

Results
* raw total energy: -12.4 eV for the cell shown
* energy of formation: 1207 meV per atom
* ΔE to the lowest computed polymorph: 0.5966 eV per atom
* space-group type: Pmmm


No. 8
Material: KMgW2
Method: DFT, PBE
State: optimized geometry

Structure (extended XYZ):
```
4
Lattice="2.739 0.000 0.000 0.000 5.493 0.000 -0.750 0.000 5.299" Properties=species:S:1:pos:R:3 pbc="T T T"
K 0.000 0.000 0.000
Mg 0.994 0.000 2.650
W 0.127 2.746 3.926
W 1.862 2.746 1.373
```

Results
* raw total energy: -23.4 eV for the cell shown
* energy of formation: 1305 meV per atom
* space-group type: P2/m


No. 9
Material: KMg2W
Method: DFT, PBE
State: optimized geometry

Structure (extended XYZ):
```
4
Lattice="5.100 -1.409 0.000 5.100 1.409 0.000 -0.409 0.000 7.444" Properties=species:S:1:pos:R:3 pbc="T T T"
K 0.000 0.000 0.000
Mg 4.909 0.000 4.185
Mg 7.620 0.000 2.573
W 2.178 0.000 4.975
```

Results
* raw total energy: -13.6 eV for the cell shown
* energy of formation: 908 meV per atom
* ΔE to the lowest computed polymorph: 0.2972 eV per atom
* space-group type: Cm


No. 10
Material: KMg2W
Method: DFT, PBE
State: optimized geometry

Structure (extended XYZ):
```
4
Lattice="2.913 0.000 0.000 0.000 4.152 0.000 -0.036 0.000 8.346" Properties=species:S:1:pos:R:3 pbc="T T T"
K 0.000 0.000 0.000
Mg 1.439 2.076 2.727
Mg 1.438 2.076 5.619
W -0.018 0.000 4.173
```

Results
* raw total energy: -14.2 eV for the cell shown
* energy of formation: 748 meV per atom
* ΔE to the lowest computed polymorph: 0.1375 eV per atom
* space-group type: P2/m


No. 11
Material: KMg2W
Method: DFT, PBE
State: optimized geometry

Structure (extended XYZ):
```
4
Lattice="1.518 0.876 11.356 -1.518 0.876 11.356 0.000 -1.753 11.356" Properties=species:S:1:pos:R:3 pbc="T T T"
K 0.000 0.000 0.000
Mg 0.000 0.000 8.046
Mg 0.000 0.000 26.022
W 0.000 0.000 17.034
```

Results
* raw total energy: -14.6 eV for the cell shown
* energy of formation: 662 meV per atom
* ΔE to the lowest computed polymorph: 0.0511 eV per atom
* space-group type: R-3m


No. 12
Material: KMgW2
Method: DFT, PBE
State: optimized geometry

Structure (extended XYZ):
```
4
Lattice="-1.359 2.555 5.808 1.359 -2.555 5.808 1.359 2.555 -5.808" Properties=species:S:1:pos:R:3 pbc="T T T"
K 0.000 0.000 0.000
Mg 0.000 0.000 5.808
W 1.359 0.000 3.208
W 0.000 2.555 2.600
```

Results
* raw total energy: -24.1 eV for the cell shown
* energy of formation: 1133 meV per atom
* space-group type: Immm


no.,M_tot (Bohr magnetons per cell)
1,0.00
2,0.00
3,3.18
4,0.00
5,3.04
6,0.00
7,1.77
8,0.00
9,0.41
10,0.00
11,0.00
12,0.00